No. 1
VASP calculation (GGA-PBE) on crystalline CaAgGe2Pd5 at its relaxed geometry.

a b c (Å): 4.1882 4.1882 9.1272
angles (deg): 90.00 90.00 90.00
Last column: nearest neighbours and their distance in Å.
Space group P4/mmm (No. 123)
Symmetry-distinct sites (fractional):
Ca (0.0000, 0.0000, 0.0000) x1  12 Pd 2.96-2.97
Ag (0.0000, 0.0000, 0.5000) x1  8 Ge 3.20, 8 Pd 3.23
Ge (0.5000, 0.5000, 0.3665) x2  4 Pd 2.43, 1 Ge 2.44
Pd (0.0000, 0.5000, 0.2308) x4  2 Ge 2.43
Pd (0.5000, 0.5000, 0.0000) x1  4 Ca 2.96, 8 Pd 2.97

The calculated density is 8.6 g cm⁻³. The value obtained for the total magnetization is 0.000 Bohr magnetons per cell. The total energy comes out at -4.8654 eV/atom.

No. 2
VASP calculation (GGA-PBE) on crystalline Ca2PrAg2Ge2 at its relaxed geometry.

a b c (Å): 4.6296 4.6296 27.9058
angles (deg): 90.00 90.00 120.00
Last column: nearest neighbours and their distance in Å.
Space group R-3m (No. 166, hexagonal axes)
Symmetry-distinct sites (fractional):
Ca (0.0000, 0.0000, 0.1278) x6  3 Ge 3.06, 3 Ag 3.12
Pr (0.0000, 0.0000, 0.0000) x3  6 Ag 3.32, 6 Ge 3.38, 2 Ca 3.57
Ag (0.0000, 0.0000, 0.4037) x6  3 Ge 2.67
Ge (0.0000, 0.0000, 0.2593) x6  3 Ag 2.67

The calculated density is 5.6 g cm⁻³. The value obtained for the total magnetization is 0.000 Bohr magnetons per cell. The total energy comes out at -3.8487 eV/atom.